Arrangement A

Density functional theory data (PBE) for crystalline LaPb2Cl at its relaxed geometry.

Cell lengths 4.3418, 4.3506, 6.1621 Å; angles 90.00, 90.00, 90.00 degrees
Fractional coordinates of all 4 atoms:
Pb: 0.0000 0.0000 0.0000
Pb: 0.5000 0.5000 0.0000
Cl: 0.5000 0.0000 0.5000
La: 0.0000 0.5000 0.5000

Properties
DOS(E_F)   4.21 states/eV/f.u.

---

Arrangement B

Density functional theory data (PBE) for crystalline LaPb2Cl at its relaxed geometry.

Cell lengths 5.7135, 5.7135, 3.7492 Å; angles 90.00, 90.00, 90.00 degrees
Fractional coordinates of all 4 atoms:
Pb: 0.0000 0.0000 0.0000
Pb: 0.5000 0.5000 0.0000
Cl: 0.5000 0.0000 0.5000
La: 0.0000 0.5000 0.5000

Properties
DOS(E_F)   2.28 states/eV/f.u.

---

Arrangement C

Density functional theory data (PBE) for crystalline LaPb2Cl at its relaxed geometry.

Cell lengths 5.9989, 5.9989, 3.5725 Å; angles 90.00, 90.00, 113.87 degrees
Fractional coordinates of all 4 atoms:
Pb: 0.0000 0.0000 0.0000
Pb: 0.5000 0.5000 0.0000
Cl: 0.5000 0.0000 0.5000
La: 0.0000 0.5000 0.5000

Properties
DOS(E_F)   3.06 states/eV/f.u.

---

Name the most stable of them. arrangement A.

---

Arrangement A

Density functional theory data (PBE) for crystalline LaPb2Cl at its relaxed geometry.

Cell lengths 3.7714, 5.5350, 5.9567 Å; angles 90.00, 90.00, 90.00 degrees
Fractional coordinates of all 4 atoms:
Pb: 0.0000 0.0000 0.9949
Pb: 0.0000 0.0000 0.5051
Cl: 0.5000 0.5000 0.2500
La: 0.5000 0.5000 0.7500

Properties
DOS(E_F)   3.54 states/eV/f.u.

---

Arrangement B

Density functional theory data (PBE) for crystalline LaPb2Cl at its relaxed geometry.

Cell lengths 5.5791, 5.5791, 5.5791 Å; angles 60.00, 60.00, 60.00 degrees
Fractional coordinates of all 4 atoms:
Pb: 0.2500 0.2500 0.2500
Pb: 0.7500 0.7500 0.7500
Cl: 0.0000 0.0000 0.0000
La: 0.5000 0.5000 0.5000

Properties
DOS(E_F)   1.91 states/eV/f.u.

---

Name the most stable of them. arrangement A.

---

Arrangement A

Density functional theory data (PBE) for crystalline LaPb2Cl at its relaxed geometry.

Cell lengths 3.6184, 3.6184, 10.5030 Å; angles 90.00, 90.00, 116.70 degrees
Fractional coordinates of all 4 atoms:
Pb: 0.0000 0.0000 0.0235
Pb: 0.0000 0.0000 0.4765
Cl: 0.5000 0.5000 0.2500
La: 0.5000 0.5000 0.7500

Properties
DOS(E_F)   3.65 states/eV/f.u.

---

Arrangement B

Density functional theory data (PBE) for crystalline LaPb2Cl at its relaxed geometry.

Cell lengths 5.5292, 5.5292, 5.5292 Å; angles 60.00, 60.00, 60.00 degrees
Fractional coordinates of all 4 atoms:
Pb: 0.0000 0.0000 0.0000
Pb: 0.2500 0.2500 0.2500
Cl: 0.5000 0.5000 0.5000
La: 0.7500 0.7500 0.7500

Properties
DOS(E_F)   1.58 states/eV/f.u.

---

Name the most stable of them. arrangement B.

---

Arrangement A

Density functional theory data (PBE) for crystalline LaPbS2Cl at its relaxed geometry.

Cell lengths 5.1200, 5.1200, 5.1055 Å; angles 90.00, 90.00, 90.00 degrees
Fractional coordinates of all 5 atoms:
Pb: 0.0000 0.0000 0.5000
S: 0.0000 0.5000 0.0000
S: 0.5000 0.0000 0.0000
Cl: 0.0000 0.0000 0.0000
La: 0.5000 0.5000 0.5000

Properties
DOS(E_F)   2.95 states/eV/f.u.

---

Arrangement B

Density functional theory data (PBE) for crystalline LaPbS2Cl at its relaxed geometry.

Cell lengths 5.6293, 5.6293, 5.3891 Å; angles 90.00, 90.00, 90.00 degrees
Fractional coordinates of all 5 atoms:
Pb: 0.5000 0.5000 0.5000
S: 0.0000 0.5000 0.0000
S: 0.5000 0.0000 0.0000
Cl: 0.0000 0.0000 0.5000
La: 0.0000 0.0000 0.0000

Properties
DOS(E_F)   0.09 states/eV/f.u.

---

Arrangement C

Density functional theory data (PBE) for crystalline LaPbS2Cl at its relaxed geometry.

Cell lengths 5.3648, 5.3648, 5.2081 Å; angles 90.00, 90.00, 90.00 degrees
Site moments in Bohr magnetons follow the coordinates.
Fractional coordinates of all 5 atoms:
Pb: 0.0000 0.0000 0.0000  0.00
S: 0.0000 0.5000 0.0000  -0.01
S: 0.5000 0.0000 0.0000  -0.01
Cl: 0.0000 0.0000 0.5000  0.00
La: 0.5000 0.5000 0.5000  0.32

Properties
DOS(E_F)   5.59 states/eV/f.u.

---

Name the most stable of them. arrangement B.

---

Arrangement A

Density functional theory data (PBE) for crystalline La2PdCl2 at its relaxed geometry.

Cell lengths 8.2586, 8.2586, 3.4804 Å; angles 90.00, 90.00, 90.00 degrees
Fractional coordinates of all 10 atoms:
Cl: 0.3765 0.8765 0.0000
Cl: 0.8765 0.6235 0.0000
Cl: 0.6235 0.1235 0.0000
Cl: 0.1235 0.3765 0.0000
Pd: 0.0000 0.0000 0.0000
Pd: 0.5000 0.5000 0.0000
La: 0.1788 0.6788 0.5000
La: 0.6788 0.8212 0.5000
La: 0.8212 0.3212 0.5000
La: 0.3212 0.1788 0.5000

Properties
DOS(E_F)   3.74 states/eV/f.u.

---

Arrangement B

Density functional theory data (PBE) for crystalline La2PdCl2 at its relaxed geometry.

Cell lengths 5.4433, 5.4433, 5.9545 Å; angles 62.80, 62.80, 90.00 degrees
Fractional coordinates of all 5 atoms:
Cl: 0.3374 0.3374 0.3253
Cl: 0.6626 0.6626 0.6747
Pd: 0.0000 0.0000 0.0000
La: 0.7500 0.2500 0.5000
La: 0.2500 0.7500 0.5000

Properties
DOS(E_F)   1.91 states/eV/f.u.

---

Arrangement C

Density functional theory data (PBE) for crystalline La2PdCl2 at its relaxed geometry.

Cell lengths 4.2085, 4.2096, 10.3110 Å; angles 90.55, 90.00, 119.99 degrees
Fractional coordinates of all 5 atoms:
La: 0.8303 0.6607 0.3305
La: 0.1697 0.3393 0.6695
Pd: 0.5000 0.0000 0.5000
Cl: 0.1609 0.3218 0.1616
Cl: 0.8391 0.6782 0.8384

Properties
DOS(E_F)   2.28 states/eV/f.u.

---

Name the most stable of them. arrangement C.

---

Arrangement A

Density functional theory data (PBE) for crystalline LaPdCl3 at its relaxed geometry.

Cell lengths 5.5453, 5.5453, 5.5453 Å; angles 90.00, 90.00, 90.00 degrees
Fractional coordinates of all 5 atoms:
Cl: 0.0000 0.5000 0.0000
Cl: 0.0000 0.0000 0.5000
Cl: 0.5000 0.0000 0.0000
Pd: 0.5000 0.5000 0.5000
La: 0.0000 0.0000 0.0000

Properties
DOS(E_F)   10.56 states/eV/f.u.

---

Arrangement B

Density functional theory data (PBE) for crystalline LaPdCl3 at its relaxed geometry.

Cell lengths 4.9482, 4.9482, 4.9482 Å; angles 90.00, 90.00, 90.00 degrees
Site moments in Bohr magnetons follow the coordinates.
Fractional coordinates of all 5 atoms:
Cl: 0.0000 0.5000 0.0000  0.00
Cl: 0.0000 0.0000 0.5000  0.00
Cl: 0.5000 0.0000 0.0000  0.00
Pd: 0.0000 0.0000 0.0000  0.00
La: 0.5000 0.5000 0.5000  0.38

Properties
DOS(E_F)   8.88 states/eV/f.u.

---

Name the most stable of them. arrangement A.